First-principles (PBE) data for a geometry-optimized Mg3GeRh4 structure, as listed in Alexandria via LeMat-Bulk.

The energy of formation comes out at -0.61 eV per atom. The size of the total moment comes out at 0.00 μB per atom.

Lattice parameters (Å, degrees): 4.3469 4.3469 6.9216 108.27 108.30 90.00
Fractional coordinates of all 8 atoms:
Mg: 0.0000 0.5000 0.0000
Mg: 0.7517 0.2519 0.5034
Mg: 0.2483 0.7481 0.4966
Rh: 0.3807 0.3804 0.7614
Rh: 0.6193 0.6196 0.2386
Rh: 0.1193 0.1193 0.2386
Rh: 0.8807 0.8807 0.7614
Ge: 0.5000 0.0000 0.0000



First-principles (PBE) data for a geometry-optimized MgGe2Rh2 structure, as listed in Alexandria via LeMat-Bulk.

The energy of formation comes out at -0.43 eV per atom. The size of the total moment comes out at 0.00 μB per atom.

Lattice parameters (Å, degrees): 6.2043 6.2043 5.0814 109.19 109.19 85.74
Fractional coordinates of all 10 atoms:
Mg: 0.8895 0.6105 0.7500
Mg: 0.1105 0.3895 0.2500
Ge: 0.1705 0.8838 0.3908
Ge: 0.3838 0.6705 0.8908
Ge: 0.8295 0.1162 0.6092
Ge: 0.6162 0.3295 0.1092
Rh: 0.2206 0.2794 0.7500
Rh: 0.4313 0.0687 0.2500
Rh: 0.5687 0.9313 0.7500
Rh: 0.7794 0.7206 0.2500



First-principles (PBE) data for a geometry-optimized Mg3GeRh structure, as listed in Alexandria via LeMat-Bulk.

The energy of formation comes out at 0.48 eV per atom. As for the polymorph energy (0 for the lowest one): 760.3 meV/atom. The size of the total moment comes out at 0.10 μB per atom.

Lattice parameters (Å, degrees): 4.8755 4.8755 4.8755 90.00 90.00 90.00
Last column: magnetic moment on the atom in μB.
Fractional coordinates of all 5 atoms:
Ge: 0.0000 0.0000 0.0000  0.04
Rh: 0.5000 0.5000 0.5000  0.38
Mg: 0.0000 0.5000 0.0000  0.00
Mg: 0.0000 0.0000 0.5000  0.00
Mg: 0.5000 0.0000 0.0000  0.00



First-principles (PBE) data for a geometry-optimized Mg2GeRh3 structure, as listed in Alexandria via LeMat-Bulk.

The energy of formation comes out at -0.64 eV per atom. The size of the total moment comes out at 0.00 μB per atom.

Lattice parameters (Å, degrees): 4.3442 6.8777 6.1903 90.00 90.00 71.59
Fractional coordinates of all 12 atoms:
Mg: 0.0000 0.0000 0.0000
Mg: 0.0000 0.0000 0.5000
Mg: 0.3333 0.3334 0.5000
Mg: 0.6667 0.6666 0.5000
Ge: 0.3417 0.3167 0.0000
Ge: 0.6583 0.6833 0.0000
Rh: 0.8277 0.3447 0.7680
Rh: 0.5000 0.0000 0.2421
Rh: 0.1723 0.6553 0.2320
Rh: 0.8276 0.3447 0.2320
Rh: 0.1724 0.6553 0.7680
Rh: 0.5000 0.0000 0.7579